No. 1
{"formula": "TbNd2Y", "functional": "PBE", "state": "relaxed", "lattice_angstrom": [[-3.191, 1.413, -0.997], [0.697, -0.865, -3.455], [-4.461, -9.101, 1.378]], "species": ["Nd", "Nd", "Tb", "Y"], "fractional_positions": [[0.000, 0.000, 0.249], [0.000, 0.000, 0.751], [0.500, 0.500, 0.000], [0.500, 0.500, 0.500]], "magmom_total_mub_per_atom": 0.00, "spacegroup": "No. 123", "formation_enthalpy_0k_kj_per_mol_fu": 7}

---

No. 2
{"formula": "Tb8Nd5Y", "functional": "PBE", "state": "relaxed", "lattice_angstrom": [[-0.397, 1.502, -3.212], [-15.660, -6.487, -1.092], [-6.467, 4.003, 4.654]], "species": ["Y", "Nd", "Nd", "Nd", "Nd", "Nd", "Tb", "Tb", "Tb", "Tb", "Tb", "Tb", "Tb", "Tb"], "fractional_positions": [[0.500, 0.500, 0.000], [0.286, 0.644, 0.572], [0.000, 0.000, 0.000], [0.645, 0.060, 0.289], [0.355, 0.940, 0.710], [0.714, 0.356, 0.428], [0.582, 0.777, 0.163], [0.147, 0.559, 0.294], [0.784, 0.146, 0.567], [0.922, 0.721, 0.844], [0.216, 0.854, 0.433], [0.078, 0.279, 0.156], [0.853, 0.441, 0.706], [0.418, 0.223, 0.837]], "magmom_total_mub_per_atom": 0.00, "spacegroup": "No. 12", "formation_enthalpy_0k_kj_per_mol_fu": 61}

---

No. 3
{"formula": "TbNdY5", "functional": "PBE", "state": "relaxed", "lattice_angstrom": [[8.532, 2.060, 1.630], [4.661, 7.437, 1.630], [6.795, 4.892, 10.360]], "species": ["Y", "Y", "Y", "Y", "Y", "Y", "Y", "Y", "Y", "Y", "Nd", "Nd", "Tb", "Tb"], "fractional_positions": [[0.333, 0.340, 0.583], [0.263, 0.254, 0.401], [0.660, 0.667, 0.917], [0.767, 0.233, 0.750], [0.667, 0.660, 0.417], [0.340, 0.333, 0.083], [0.737, 0.746, 0.599], [0.746, 0.737, 0.099], [0.233, 0.767, 0.250], [0.254, 0.263, 0.901], [0.767, 0.233, 0.250], [0.233, 0.767, 0.750], [0.000, 0.000, 0.000], [0.000, 0.000, 0.500]], "magmom_total_mub_per_atom": 0.00, "spacegroup": "No. 15", "formation_enthalpy_0k_kj_per_mol_fu": 122}

---

No. 4
{"formula": "TbNd8Y6", "functional": "PBE", "state": "relaxed", "lattice_angstrom": [[-6.497, -6.152, 2.112], [-4.890, -3.998, -6.680], [0.946, -8.526, -1.916]], "species": ["Nd", "Nd", "Nd", "Nd", "Nd", "Nd", "Nd", "Nd", "Y", "Y", "Y", "Y", "Y", "Y", "Tb"], "fractional_positions": [[0.716, 0.113, 0.420], [0.751, 0.716, 0.420], [0.423, 0.423, 0.732], [0.577, 0.577, 0.268], [0.249, 0.284, 0.580], [0.284, 0.887, 0.580], [0.887, 0.249, 0.580], [0.113, 0.751, 0.420], [0.752, 0.461, 0.883], [0.097, 0.248, 0.117], [0.248, 0.539, 0.117], [0.461, 0.903, 0.883], [0.903, 0.752, 0.883], [0.539, 0.097, 0.117], [0.000, 0.000, 0.000]], "magmom_total_mub_per_atom": 0.00, "spacegroup": "No. 148", "formation_enthalpy_0k_kj_per_mol_fu": 164}

---

No. 5
{"formula": "Tb4Nd3Y2", "functional": "PBE", "state": "relaxed", "lattice_angstrom": [[3.602, 0.000, 0.000], [-1.801, 5.902, 0.971], [0.000, 4.226, 14.701]], "species": ["Tb", "Tb", "Tb", "Tb", "Y", "Y", "Nd", "Nd", "Nd"], "fractional_positions": [[0.001, 0.001, 0.331], [0.667, 0.334, 0.111], [0.333, 0.666, 0.889], [0.999, 0.999, 0.669], [0.333, 0.666, 0.221], [0.667, 0.334, 0.779], [0.334, 0.669, 0.556], [0.000, 0.000, 0.000], [0.666, 0.331, 0.444]], "magmom_total_mub_per_atom": 0.00, "spacegroup": "No. 12", "formation_enthalpy_0k_kj_per_mol_fu": 14}

---

No. 6
{"formula": "Tb2Nd7Y3", "functional": "PBE", "state": "relaxed", "lattice_angstrom": [[-0.760, 0.727, 3.491], [0.935, -5.676, 1.385], [18.211, 4.978, 2.931]], "species": ["Nd", "Nd", "Nd", "Nd", "Nd", "Nd", "Nd", "Y", "Y", "Y", "Tb", "Tb"], "fractional_positions": [[0.500, 0.742, 0.465], [0.000, 0.676, 0.145], [0.500, 0.822, 0.817], [0.500, 0.258, 0.535], [0.500, 0.178, 0.183], [0.000, 0.324, 0.855], [0.000, 0.000, 0.000], [0.500, 0.500, 0.000], [0.000, 0.216, 0.367], [0.000, 0.784, 0.633], [0.500, 0.705, 0.298], [0.500, 0.295, 0.702]], "magmom_total_mub_per_atom": 0.00, "spacegroup": "No. 10", "formation_enthalpy_0k_kj_per_mol_fu": 97}

---

No. 7
{"formula": "TbNd2Y7", "functional": "PBE", "state": "relaxed", "lattice_angstrom": [[7.632, -1.931, 1.541], [-3.946, 7.198, -4.764], [3.620, -2.237, 8.496]], "species": ["Y", "Y", "Y", "Y", "Y", "Y", "Y", "Nd", "Nd", "Tb"], "fractional_positions": [[0.000, 0.600, 0.400], [0.000, 0.400, 0.600], [0.999, 0.199, 0.800], [0.500, 0.299, 0.200], [0.500, 0.701, 0.800], [0.001, 0.801, 0.200], [0.500, 0.500, 0.000], [0.501, 0.099, 0.399], [0.499, 0.901, 0.601], [0.000, 0.000, 0.000]], "magmom_total_mub_per_atom": 0.00, "spacegroup": "No. 2", "formation_enthalpy_0k_kj_per_mol_fu": 18}

---

No. 8
{"formula": "Tb12Nd3Y", "functional": "PBE", "state": "relaxed", "lattice_angstrom": [[-4.769, -1.419, -0.972], [1.688, -3.312, -3.447], [1.318, -14.258, 14.345]], "species": ["Tb", "Tb", "Tb", "Tb", "Tb", "Tb", "Tb", "Tb", "Tb", "Tb", "Tb", "Tb", "Y", "Nd", "Nd", "Nd"], "fractional_positions": [[0.500, 0.500, 0.000], [0.000, 0.500, 0.625], [0.500, 0.500, 0.751], [0.000, 0.500, 0.375], [0.500, 0.500, 0.500], [0.500, 0.000, 0.625], [0.500, 0.000, 0.375], [0.500, 0.000, 0.876], [0.500, 0.500, 0.249], [0.000, 0.500, 0.124], [0.000, 0.500, 0.876], [0.500, 0.000, 0.124], [0.000, 0.000, 0.000], [0.000, 0.000, 0.500], [0.000, 0.000, 0.249], [0.000, 0.000, 0.751]], "magmom_total_mub_per_atom": 0.00, "spacegroup": "No. 123", "formation_enthalpy_0k_kj_per_mol_fu": 27}

---

No. 9
{"formula": "Tb4Nd10Y", "functional": "PBE", "state": "relaxed", "lattice_angstrom": [[-7.545, -2.775, -7.458], [-0.018, -7.187, -5.370], [-7.302, -5.070, 1.212]], "species": ["Nd", "Nd", "Nd", "Nd", "Nd", "Nd", "Nd", "Nd", "Nd", "Nd", "Y", "Tb", "Tb", "Tb", "Tb"], "fractional_positions": [[0.607, 0.107, 0.347], [0.046, 0.347, 0.893], [0.393, 0.893, 0.653], [0.940, 0.107, 0.347], [0.250, 0.500, 0.500], [0.954, 0.653, 0.107], [0.713, 0.347, 0.893], [0.060, 0.893, 0.653], [0.750, 0.500, 0.500], [0.287, 0.653, 0.107], [0.000, 0.000, 0.000], [0.557, 0.661, 0.225], [0.443, 0.339, 0.775], [0.782, 0.775, 0.661], [0.218, 0.225, 0.339]], "magmom_total_mub_per_atom": 0.00, "spacegroup": "No. 87", "formation_enthalpy_0k_kj_per_mol_fu": 609}

---

No. 10
{"formula": "TbNd2Y7", "functional": "PBE", "state": "relaxed", "lattice_angstrom": [[3.533, 0.000, 0.000], [0.000, 14.105, -4.828], [0.000, -10.672, 10.410]], "species": ["Tb", "Y", "Y", "Y", "Y", "Y", "Y", "Y", "Nd", "Nd"], "fractional_positions": [[0.000, 0.000, 0.000], [0.500, 0.344, 0.148], [0.000, 0.814, 0.186], [0.500, 0.852, 0.656], [0.500, 0.500, 0.500], [0.000, 0.186, 0.814], [0.500, 0.148, 0.344], [0.500, 0.656, 0.852], [0.500, 0.293, 0.707], [0.500, 0.707, 0.293]], "magmom_total_mub_per_atom": 0.00, "spacegroup": "No. 65", "formation_enthalpy_0k_kj_per_mol_fu": 155}

---

No. 11
{"formula": "Tb2Nd7Y3", "functional": "PBE", "state": "relaxed", "lattice_angstrom": [[6.495, 0.000, 1.428], [3.090, 5.713, 1.428], [0.809, 0.482, 11.805]], "species": ["Nd", "Nd", "Nd", "Nd", "Nd", "Nd", "Nd", "Tb", "Tb", "Y", "Y", "Y"], "fractional_positions": [[0.411, 0.923, 0.254], [0.923, 0.411, 0.254], [0.589, 0.589, 0.746], [0.500, 0.500, 0.500], [0.077, 0.589, 0.746], [0.411, 0.411, 0.254], [0.589, 0.077, 0.746], [0.665, 0.665, 0.004], [0.335, 0.335, 0.996], [0.849, 0.849, 0.453], [0.000, 0.000, 0.000], [0.151, 0.151, 0.547]], "magmom_total_mub_per_atom": 0.00, "spacegroup": "No. 166", "formation_enthalpy_0k_kj_per_mol_fu": 319}

---

No. 12
{"formula": "Tb2Nd3Y4", "functional": "PBE", "state": "relaxed", "lattice_angstrom": [[-0.093, 3.453, 1.040], [-3.744, -3.149, 3.866], [6.541, -3.828, 13.287]], "species": ["Y", "Y", "Y", "Y", "Nd", "Nd", "Nd", "Tb", "Tb"], "fractional_positions": [[0.667, 0.333, 0.111], [0.000, 0.999, 0.332], [0.000, 0.001, 0.668], [0.333, 0.667, 0.889], [0.000, 0.000, 0.000], [0.332, 0.665, 0.558], [0.668, 0.335, 0.442], [0.334, 0.667, 0.221], [0.666, 0.333, 0.779]], "magmom_total_mub_per_atom": 0.00, "spacegroup": "No. 12", "formation_enthalpy_0k_kj_per_mol_fu": 14}

---

| no. | calculated total energy (eV per atom) |
| --- | --- |
| 1 | -5.1403 |
| 2 | -4.7651 |
| 3 | -5.7791 |
| 4 | -5.3240 |
| 5 | -5.0674 |
| 6 | -5.0848 |
| 7 | -5.9230 |
| 8 | -4.7529 |
| 9 | -4.4237 |
| 10 | -5.7805 |
| 11 | -4.8932 |
| 12 | -5.4753 |